1.
## BPd (PBE)

Data for a relaxed BPd crystal.

Lattice parameters (Å, degrees): 2.862 5.095 6.152 90.00 90.00 90.00
Space group Imm2 (No. 44)
Symmetry-distinct sites (fractional):
B 0.000 0.172 0.000 [4 per cell]
Pd 0.000 0.000 0.643 [2 per cell]
Pd 0.000 0.500 0.757 [2 per cell]

Results
- calculated formation energy (meV per atom) = 131


2.
## PbAu2Br (PBE)

Data for a relaxed PbAu2Br crystal.

Lattice parameters (Å, degrees): 4.022 6.183 8.118 90.00 90.00 90.00
Space group Cmmm (No. 65)
Symmetry-distinct sites (fractional):
Pb 0.000 0.000 0.000 [2 per cell]
Au 0.000 0.500 0.252 [4 per cell]
Br 0.000 0.000 0.500 [2 per cell]

Results
- ΔE_f (raw) (eV per formula unit) = 0.55
- energy relative to the lowest polymorph listed for this composition (meV/atom) = 259


3.
## BiTePd2 (PBE)

Data for a relaxed BiTePd2 crystal.

Lattice parameters (Å, degrees): 4.2156 4.2156 18.1469 90.00 90.00 120.00
Space group R3m (No. 160, hexagonal axes)
Symmetry-distinct sites (fractional):
Bi 0.0000 0.0000 0.0000 [3 per cell]
Te 0.0000 0.0000 0.8232 [3 per cell]
Pd 0.0000 0.0000 0.2492 [3 per cell]
Pd 0.0000 0.0000 0.4138 [3 per cell]

Results
- ΔE_f (raw) (eV per formula unit) = -0.91
- energy relative to the lowest polymorph listed for this composition (meV/atom) = 125


4.
## CsKPtSe2 (PBE)

Data for a relaxed CsKPtSe2 crystal.

Lattice parameters (Å, degrees): 5.236 5.236 5.879 90.00 90.00 90.00
Space group P4/mmm (No. 123)
Symmetry-distinct sites (fractional):
Cs 0.000 0.000 0.000 [1 per cell]
K 0.500 0.500 0.000 [1 per cell]
Pt 0.000 0.000 0.500 [1 per cell]
Se 0.000 0.500 0.500 [2 per cell]

Results
- ΔE_f (raw) (eV per formula unit) = -1.54
- energy relative to the lowest polymorph listed for this composition (meV/atom) = 511


Number 1: volume 11.21 A^3/atom. Number 2: volume 25.23 A^3/atom. Number 3: volume 23.27 A^3/atom. Number 4: volume 32.24 A^3/atom.